Below is crystalline RbHgF3 at its relaxed geometry, with properties calculated at the GGA-PBE level.

Lattice parameters (Å, degrees): 4.5567 6.8745 6.7939 90.00 107.54 90.00
Last column: nearest neighbours and their distance in Å.
Fractional positions:
1 Rb 0.1872 0.2500 0.3975  7 F 2.85-2.94
2 Rb 0.8128 0.7500 0.6025  7 F 2.85-2.94
3 Hg 0.4910 0.2500 0.9622  6 F 2.27-2.45
4 Hg 0.5090 0.7500 0.0378  6 F 2.27-2.45
5 F 0.0123 0.7500 0.0421  2 Hg 2.27-2.28
6 F 0.3795 0.5241 0.7450  2 Hg 2.35-2.45
7 F 0.3795 0.9759 0.7450  2 Hg 2.35-2.45
8 F 0.6205 0.0241 0.2550  2 Hg 2.35-2.45
9 F 0.6205 0.4759 0.2550  2 Hg 2.35-2.45
10 F 0.9877 0.2500 0.9579  2 Hg 2.27-2.28

ΔE_f (raw)   -1953 meV/atom
Total moment   0.00 Bohr magnetons per cell
Density   5.6 g/cm³
Space-group type   No. 11


Below is crystalline RbHg5F11 at its relaxed geometry, with properties calculated at the GGA-PBE level.

Lattice parameters (Å, degrees): 7.5118 7.5118 6.1902 106.08 106.08 97.15
Last column: nearest neighbours and their distance in Å.
Fractional positions:
1 Rb 0.0000 0.0000 0.0000  10 F 3.06-3.13
2 Hg 0.0015 0.6362 0.3065  2 F 2.12-2.13
3 Hg 0.3638 0.9985 0.6935  2 F 2.12-2.13
4 Hg 0.5000 0.5000 0.0000  2 F 2.06
5 Hg 0.6362 0.0015 0.3065  2 F 2.12-2.13
6 Hg 0.9985 0.3638 0.6935  2 F 2.12-2.13
7 F 0.0000 0.0000 0.5000  4 Hg 2.67
8 F 0.1406 0.6898 0.6754  1 Hg 2.13
9 F 0.1550 0.4123 0.0546  1 Hg 2.12
10 F 0.3102 0.8594 0.3246  1 Hg 2.13
11 F 0.3350 0.3350 0.6600  1 Hg 2.06
12 F 0.4123 0.1550 0.0546  1 Hg 2.12
13 F 0.5877 0.8450 0.9454  1 Hg 2.12
14 F 0.6650 0.6650 0.3400  1 Hg 2.06
15 F 0.6898 0.1406 0.6754  1 Hg 2.13
16 F 0.8450 0.5877 0.9454  1 Hg 2.12
17 F 0.8594 0.3102 0.3246  1 Hg 2.13

ΔE_f (raw)   -1552 meV/atom
Total moment   0.00 Bohr magnetons per cell
Density   6.8 g/cm³
Space-group type   No. 12


Below is crystalline RbHg6F12 at its relaxed geometry, with properties calculated at the GGA-PBE level.

Lattice parameters (Å, degrees): 7.4540 7.4540 7.4540 109.88 109.88 109.88
Last column: nearest neighbours and their distance in Å.
Fractional positions:
1 Rb 0.0000 0.0000 0.0000  6 F 3.04
2 Hg 0.2702 0.2702 0.7032  3 F 2.24-2.32
3 Hg 0.2702 0.7032 0.2702  3 F 2.24-2.32
4 Hg 0.2968 0.7298 0.7298  3 F 2.24-2.32
5 Hg 0.7032 0.2702 0.2702  3 F 2.24-2.32
6 Hg 0.7298 0.2968 0.7298  3 F 2.24-2.32
7 Hg 0.7298 0.7298 0.2968  3 F 2.24-2.32
8 F 0.1120 0.5000 0.8880  2 Hg 2.32
9 F 0.1120 0.8880 0.5000  2 Hg 2.32
10 F 0.1315 0.4106 0.4106  1 Hg 2.24
11 F 0.4106 0.1315 0.4106  1 Hg 2.24
12 F 0.4106 0.4106 0.1315  1 Hg 2.24
13 F 0.5000 0.1120 0.8880  2 Hg 2.32
14 F 0.5000 0.8880 0.1120  2 Hg 2.32
15 F 0.5894 0.5894 0.8685  1 Hg 2.24
16 F 0.5894 0.8685 0.5894  1 Hg 2.24
17 F 0.8685 0.5894 0.5894  1 Hg 2.24
18 F 0.8880 0.1120 0.5000  2 Hg 2.32
19 F 0.8880 0.5000 0.1120  2 Hg 2.32

ΔE_f (raw)   -1445 meV/atom
Total moment   0.00 Bohr magnetons per cell
Density   8.0 g/cm³
Space-group type   No. 166